1.
A plane-wave DFT calculation with GGA-PBE was carried out for a relaxed SrLiPb2 crystal.

Values from the calculation:
V in A^3/atom: 30.09
SG: C2/m, No. 12
Energy of formation from the pure elements in eV per atom: -0.376
DFT total energy in eV for the cell shown: -12.52
Total magnetic moment in μB per formula unit: 0.0

Lattice parameters (Å, degrees): 4.865 4.865 6.513 68.16 68.16 59.84
Atoms (fractional coordinates):
Pb1 0.969 0.969 0.095
Pb2 0.531 0.531 0.405
Sr1 0.750 0.750 0.750
Li1 0.250 0.250 0.250


2.
A plane-wave DFT calculation with GGA-PBE was carried out for a relaxed La12Dy5Er2 crystal.

Values from the calculation:
V in A^3/atom: 34.97
SG: C2/m, No. 12
Energy relative to the lowest polymorph listed for this composition in eV per atom: 0.056
Energy of formation from the pure elements in eV per atom: 0.155
DFT total energy in eV for the cell shown: -88.33
Total magnetic moment in μB per formula unit: 0.0

Lattice parameters (Å, degrees): 7.631 10.989 10.074 59.28 90.00 110.32
Atoms (fractional coordinates):
La1 0.000 0.999 0.206
La2 0.067 0.671 0.835
La3 0.604 0.671 0.835
La4 0.089 0.679 0.476
La5 0.590 0.679 0.476
La6 0.485 0.970 0.683
La7 0.515 0.030 0.317
La8 0.911 0.321 0.524
La9 0.410 0.321 0.524
La10 0.933 0.329 0.165
La11 0.396 0.329 0.165
La12 0.000 0.001 0.794
Dy1 0.173 0.346 0.821
Dy2 0.323 0.646 0.163
Dy3 0.000 0.000 0.500
Dy4 0.677 0.354 0.837
Dy5 0.827 0.654 0.179
Er1 0.698 0.000 0.000
Er2 0.302 0.000 0.000


3.
A plane-wave DFT calculation with GGA-PBE was carried out for a relaxed Al6Ag5 crystal.

Values from the calculation:
V in A^3/atom: 16.98
SG: P-1, No. 2
Energy relative to the lowest polymorph listed for this composition in eV per atom: 0.000
Energy of formation from the pure elements in eV per atom: -0.027
DFT total energy in eV for the cell shown: -37.01
Total magnetic moment in μB per formula unit: 0.0

Lattice parameters (Å, degrees): 2.888 4.941 13.699 89.03 90.22 107.13
Atoms (fractional coordinates):
Ag1 0.992 0.982 0.992
Ag2 0.554 0.107 0.175
Ag3 0.082 0.166 0.370
Ag4 0.645 0.290 0.553
Ag5 0.818 0.636 0.273
Al1 0.186 0.371 0.731
Al2 0.719 0.440 0.914
Al3 0.279 0.558 0.096
Al4 0.357 0.715 0.450
Al5 0.917 0.833 0.631
Al6 0.450 0.902 0.815


4.
A plane-wave DFT calculation with GGA-PBE was carried out for a relaxed SmCdGa crystal.

Values from the calculation:
V in A^3/atom: 23.56
SG: P-6m2, No. 187
Energy relative to the lowest polymorph listed for this composition in eV per atom: 0.057
Energy of formation from the pure elements in eV per atom: -0.471
DFT total energy in eV for the cell shown: -10.07
Total magnetic moment in μB per formula unit: 0.0

Lattice parameters (Å, degrees): 3.659 4.723 4.723 120.00 90.00 90.00
Atoms (fractional coordinates):
Ga1 0.167 0.000 0.000
Sm1 0.667 0.667 0.333
Cd1 0.167 0.333 0.667


5.
A plane-wave DFT calculation with GGA-PBE was carried out for a relaxed Bi2PbF crystal.

Values from the calculation:
V in A^3/atom: 31.70
SG: I-42d, No. 122
Energy relative to the lowest polymorph listed for this composition in eV per atom: 0.000
DFT total energy in eV for the cell shown: -30.42
Total magnetic moment in μB per formula unit: 0.0

Lattice parameters (Å, degrees): 5.579 5.579 9.052 72.05 72.05 90.00
Atoms (fractional coordinates):
Pb1 0.000 0.000 0.000
Pb2 0.750 0.250 0.500
Bi1 0.515 0.125 0.250
Bi2 0.235 0.625 0.250
Bi3 0.375 0.485 0.750
Bi4 0.875 0.765 0.750
F1 0.500 0.500 0.000
F2 0.250 0.750 0.500


6.
A plane-wave DFT calculation with GGA-PBE was carried out for a relaxed TbNdSm5Ho2 crystal.

Values from the calculation:
V in A^3/atom: 33.99
SG: Cmc2_1, No. 36
Energy of formation from the pure elements in eV per atom: 0.149
DFT total energy in eV for the cell shown: -81.62
Total magnetic moment in μB per formula unit: 0.0

Lattice parameters (Å, degrees): 5.654 10.503 10.699 90.00 90.00 105.62
Atoms (fractional coordinates):
Tb1 0.588 0.175 0.955
Tb2 0.412 0.825 0.455
Nd1 0.798 0.596 0.510
Nd2 0.202 0.404 0.010
Sm1 0.393 0.786 0.025
Sm2 0.718 0.437 0.808
Sm3 0.479 0.957 0.740
Sm4 0.298 0.596 0.705
Sm5 0.983 0.966 0.524
Sm6 0.607 0.214 0.525
Sm7 0.282 0.563 0.308
Sm8 0.521 0.043 0.240
Sm9 0.702 0.404 0.205
Sm10 0.017 0.034 0.024
Ho1 0.884 0.768 0.820
Ho2 0.110 0.220 0.737
Ho3 0.116 0.232 0.320
Ho4 0.890 0.780 0.237


7.
A plane-wave DFT calculation with GGA-PBE was carried out for a relaxed Dy2MgBe crystal.

Values from the calculation:
V in A^3/atom: 26.23
SG: R-3m, No. 166
Energy relative to the lowest polymorph listed for this composition in eV per atom: 0.356
Energy of formation from the pure elements in eV per atom: 0.358
DFT total energy in eV for the cell shown: -13.09
Total magnetic moment in μB per formula unit: 0.0

Lattice parameters (Å, degrees): 3.373 3.373 10.825 81.04 81.04 60.00
Atoms (fractional coordinates):
Be1 0.500 0.500 0.500
Mg1 0.000 0.000 0.000
Dy1 0.104 0.104 0.688
Dy2 0.896 0.896 0.312


8.
A plane-wave DFT calculation with GGA-PBE was carried out for a relaxed Mn2CoSb crystal.

Values from the calculation:
V in A^3/atom: 14.58
SG: Cmmm, No. 65
DFT total energy in eV for the cell shown: -28.77
Total magnetic moment in μB per formula unit: 7.1

Lattice parameters (Å, degrees): 6.206 4.348 3.185 90.02 59.10 121.71
Site moments in Bohr magnetons follow the coordinates.
Atoms (fractional coordinates):
Co1 0.500 0.500 0.000  1.42
Mn1 0.000 0.000 0.000  2.87
Mn2 0.500 0.000 0.500  2.87
Sb1 0.000 0.500 0.500  -0.11


9.
A plane-wave DFT calculation with GGA-PBE was carried out for a relaxed LiSnBr crystal.

Values from the calculation:
V in A^3/atom: 28.23
SG: P1, No. 1
Energy relative to the lowest polymorph listed for this composition in eV per atom: 0.000
DFT total energy in eV for the cell shown: -20.39
Total magnetic moment in μB per formula unit: 0.0

Lattice parameters (Å, degrees): 3.569 3.596 13.208 88.00 89.63 89.99
Atoms (fractional coordinates):
Li1 0.604 0.626 0.694
Li2 0.109 0.149 0.525
Sn1 0.087 0.052 0.187
Sn2 0.592 0.574 0.026
Br1 0.610 0.653 0.492
Br2 0.104 0.122 0.727


10.
A plane-wave DFT calculation with GGA-PBE was carried out for a relaxed Pu2SCl2O crystal.

Values from the calculation:
V in A^3/atom: 24.81
SG: Pmc2_1, No. 26
DFT total energy in eV for the cell shown: -109.30
Total magnetic moment in μB per formula unit: 10.0

Lattice parameters (Å, degrees): 3.884 7.085 10.821 90.00 90.00 90.00
Site moments in Bohr magnetons follow the coordinates.
Atoms (fractional coordinates):
Pu1 0.000 0.247 0.729  4.95
Pu2 0.500 0.343 0.433  5.12
Pu3 0.000 0.747 0.271  4.95
Pu4 0.500 0.843 0.567  5.12
S1 0.000 0.038 0.434  -0.13
S2 0.000 0.538 0.566  -0.13
Cl1 0.500 0.874 0.110  -0.05
Cl2 0.000 0.369 0.227  -0.04
Cl3 0.500 0.374 0.890  -0.05
Cl4 0.000 0.869 0.773  -0.04
O1 0.500 0.174 0.628  -0.15
O2 0.500 0.674 0.372  -0.15


11.
A plane-wave DFT calculation with GGA-PBE was carried out for a relaxed Dy2LuAl crystal.

Values from the calculation:
V in A^3/atom: 27.29
SG: P4/mmm, No. 123
Energy relative to the lowest polymorph listed for this composition in eV per atom: 0.014
Energy of formation from the pure elements in eV per atom: -0.177
DFT total energy in eV for the cell shown: -18.18
Total magnetic moment in μB per formula unit: 0.0

Lattice parameters (Å, degrees): 3.482 3.482 9.003 90.00 90.00 90.00
Atoms (fractional coordinates):
Lu1 0.500 0.500 0.500
Al1 0.500 0.500 0.000
Dy1 0.000 0.000 0.783
Dy2 0.000 0.000 0.217


12.
A plane-wave DFT calculation with GGA-PBE was carried out for a relaxed Ce8SbOs2 crystal.

Values from the calculation:
V in A^3/atom: 26.22
SG: C2/m, No. 12
DFT total energy in eV for the cell shown: -76.56
Total magnetic moment in μB per formula unit: 2.0

Lattice parameters (Å, degrees): 5.216 8.456 7.913 57.70 83.56 77.87
Site moments in Bohr magnetons follow the coordinates.
Atoms (fractional coordinates):
Ce1 0.945 0.063 0.227  0.13
Ce2 0.945 0.291 0.773  0.13
Ce3 0.321 0.400 0.000  0.42
Ce4 0.500 0.747 0.507  0.16
Ce5 0.500 0.253 0.493  0.16
Ce6 0.679 0.600 0.000  0.42
Ce7 0.055 0.709 0.227  0.13
Ce8 0.055 0.937 0.773  0.13
Sb1 0.500 0.000 0.000  0.00
Os1 0.000 0.316 0.368  -0.02
Os2 0.000 0.684 0.632  -0.02


13.
A plane-wave DFT calculation with GGA-PBE was carried out for a relaxed YMnNbGe2 crystal.

Values from the calculation:
V in A^3/atom: 18.70
SG: I-4m2, No. 119
Energy of formation from the pure elements in eV per atom: -0.483
DFT total energy in eV for the cell shown: -37.35
Total magnetic moment in μB per formula unit: 2.1

Lattice parameters (Å, degrees): 3.996 3.996 6.500 107.90 107.90 90.00
Site moments in Bohr magnetons follow the coordinates.
Atoms (fractional coordinates):
Y1 0.000 0.000 0.000  -0.11
Mn1 0.750 0.250 0.500  2.71
Nb1 0.250 0.750 0.500  -0.40
Ge1 0.608 0.608 0.217  -0.02
Ge2 0.392 0.392 0.783  -0.02


14.
A plane-wave DFT calculation with GGA-PBE was carried out for a relaxed MgTeSe2 crystal.

Values from the calculation:
V in A^3/atom: 26.73
SG: P2/m, No. 10
Energy relative to the lowest polymorph listed for this composition in eV per atom: 0.146
DFT total energy in eV for the cell shown: -13.05
Total magnetic moment in μB per formula unit: 0.3

Lattice parameters (Å, degrees): 3.272 5.575 7.374 52.63 90.00 90.00
Site moments in Bohr magnetons follow the coordinates.
Atoms (fractional coordinates):
Mg1 0.500 0.750 0.750  0.00
Se1 0.000 0.992 0.901  0.01
Se2 0.000 0.508 0.599  0.01
Te1 0.500 0.250 0.250  0.14


15.
A plane-wave DFT calculation with GGA-PBE was carried out for a relaxed Sm2Er3Sc2 crystal.

Values from the calculation:
V in A^3/atom: 29.56
SG: C2/m, No. 12
Energy of formation from the pure elements in eV per atom: 0.046
DFT total energy in eV for the cell shown: -35.47
Total magnetic moment in μB per formula unit: 0.0

Lattice parameters (Å, degrees): 4.930 5.990 7.770 97.61 90.00 114.30
Atoms (fractional coordinates):
Sm1 0.927 0.854 0.278
Sm2 0.073 0.146 0.722
Er1 0.500 0.000 0.000
Er2 0.644 0.287 0.429
Er3 0.356 0.713 0.571
Sc1 0.785 0.569 0.859
Sc2 0.215 0.431 0.141


16.
A plane-wave DFT calculation with GGA-PBE was carried out for a relaxed Sc2Zn2Cd crystal.

Values from the calculation:
V in A^3/atom: 21.61
SG: I4/mmm, No. 139
Energy of formation from the pure elements in eV per atom: 0.052
DFT total energy in eV for the cell shown: -15.87
Total magnetic moment in μB per formula unit: 0.8

Lattice parameters (Å, degrees): 4.274 4.274 6.643 71.24 71.24 90.00
Site moments in Bohr magnetons follow the coordinates.
Atoms (fractional coordinates):
Sc1 0.750 0.250 0.500  0.29
Sc2 0.250 0.750 0.500  0.29
Zn1 0.401 0.401 0.198  0.01
Zn2 0.599 0.599 0.802  0.01
Cd1 0.000 0.000 0.000  0.00


17.
A plane-wave DFT calculation with GGA-PBE was carried out for a relaxed CrTc2Pb crystal.

Values from the calculation:
V in A^3/atom: 16.27
SG: I4/mmm, No. 139
Energy relative to the lowest polymorph listed for this composition in eV per atom: 0.128
Energy of formation from the pure elements in eV per atom: 0.590
DFT total energy in eV for the cell shown: -31.70
Total magnetic moment in μB per formula unit: 0.8

Lattice parameters (Å, degrees): 4.980 4.980 4.980 132.91 132.91 68.79
Site moments in Bohr magnetons follow the coordinates.
Atoms (fractional coordinates):
Cr1 0.250 0.750 0.500  2.22
Pb1 0.750 0.250 0.500  -0.01
Tc1 0.000 0.000 0.000  -0.72
Tc2 0.500 0.500 0.000  -0.72


18.
A plane-wave DFT calculation with GGA-PBE was carried out for a relaxed AcIn6Cu3 crystal.

Values from the calculation:
V in A^3/atom: 23.33
SG: P2_1/m, No. 11
Energy of formation from the pure elements in eV per atom: -0.098
DFT total energy in eV for the cell shown: -67.61
Total magnetic moment in μB per formula unit: 0.0

Lattice parameters (Å, degrees): 4.541 7.761 13.275 86.03 90.00 90.00
Atoms (fractional coordinates):
Ac1 0.750 0.987 0.791
Ac2 0.250 0.013 0.209
In1 0.750 0.372 0.535
In2 0.250 0.628 0.465
In3 0.750 0.751 0.062
In4 0.250 0.249 0.938
In5 0.750 0.347 0.141
In6 0.250 0.653 0.859
In7 0.750 0.703 0.302
In8 0.250 0.297 0.698
In9 0.750 0.053 0.414
In10 0.250 0.947 0.586
In11 0.750 0.558 0.725
In12 0.250 0.442 0.275
Cu1 0.750 0.456 0.940
Cu2 0.250 0.544 0.060
Cu3 0.750 0.759 0.550
Cu4 0.250 0.241 0.450
Cu5 0.750 0.092 0.017
Cu6 0.250 0.908 0.983


19.
A plane-wave DFT calculation with GGA-PBE was carried out for a relaxed DyPu5Pb6 crystal.

Values from the calculation:
V in A^3/atom: 28.00
SG: P2/m, No. 10
Energy of formation from the pure elements in eV per atom: -0.215
DFT total energy in eV for the cell shown: -101.09
Total magnetic moment in μB per formula unit: 5.5

Lattice parameters (Å, degrees): 4.892 9.312 7.776 89.99 71.55 90.00
Site moments in Bohr magnetons follow the coordinates.
Atoms (fractional coordinates):
Pb1 0.835 0.750 0.330  0.01
Pb2 0.835 0.250 0.330  0.01
Pb3 0.500 0.247 0.000  0.01
Pb4 0.500 0.753 0.000  0.01
Pb5 0.165 0.750 0.670  0.01
Pb6 0.165 0.250 0.670  0.01
Dy1 0.000 0.000 0.000  0.39
Pu1 0.667 0.500 0.665  -5.64
Pu2 0.327 0.000 0.345  5.64
Pu3 0.000 0.500 0.000  -5.63
Pu4 0.673 0.000 0.655  5.64
Pu5 0.333 0.500 0.335  -5.64


20.
A plane-wave DFT calculation with GGA-PBE was carried out for a relaxed Tb2NdEr3Te6 crystal.

Values from the calculation:
V in A^3/atom: 29.44
SG: C2/m, No. 12
DFT total energy in eV for the cell shown: -61.94
Total magnetic moment in μB per formula unit: 0.0

Lattice parameters (Å, degrees): 4.332 8.805 9.798 103.86 102.77 90.00
Atoms (fractional coordinates):
Tb1 0.836 0.671 0.672
Tb2 0.164 0.329 0.328
Nd1 0.500 0.000 0.000
Er1 0.500 0.500 0.000
Er2 0.837 0.168 0.674
Er3 0.163 0.832 0.326
Te1 0.328 0.918 0.656
Te2 0.667 0.585 0.334
Te3 0.672 0.082 0.344
Te4 0.000 0.260 0.999
Te5 0.000 0.740 0.001
Te6 0.333 0.415 0.666